Density functional theory data (PBE) for a geometry-optimized SrLa2RhO5 structure.

Values from the calculation:
N(E_F)	0.76	states/eV/atom
symmetry	P4/mbm, No. 127
uncorrected energy	-133.61	eV/cell
E_form (uncorrected)	-247.95	kJ/mol of atoms

Structure (POSCAR):
```
SrLa2RhO5
1.0
6.8979 0.0000 0.0000
0.0000 6.8979 0.0000
0.0000 0.0000 5.8726
Sr La Rh O
2 4 2 10
Cartesian
0.0000 0.0000 0.0000
3.4490 3.4490 0.0000
1.2047 2.2443 2.9363
2.2443 5.6932 2.9363
4.6537 1.2047 2.9363
5.6932 4.6537 2.9363
0.0000 3.4490 0.0000
3.4490 0.0000 0.0000
0.0000 0.0000 2.9363
0.9927 4.4417 1.4253
0.9927 4.4417 4.4473
2.4563 0.9927 1.4253
2.4563 0.9927 4.4473
3.4490 3.4490 2.9363
4.4417 5.9052 1.4253
4.4417 5.9052 4.4473
5.9052 2.4563 1.4253
5.9052 2.4563 4.4473
```